A relaxed Ta2VO crystal. Source: Alexandria via LeMat-Bulk, functional PBE+U.

Cell and atoms, written as CIF:
```
data_Ta2VO
_space_group_name_H-M_alt 'I -4 2 d'
_space_group_IT_number 122
_space_group_name_Hall 'I -4 2bw'
_cell_length_a 7.3383
_cell_length_b 7.3383
_cell_length_c 4.5129
_cell_angle_alpha 90.00
_cell_angle_beta 90.00
_cell_angle_gamma 90.00
loop_
_atom_site_label
_atom_site_type_symbol
_atom_site_fract_x
_atom_site_fract_y
_atom_site_fract_z
Ta1 Ta 0.1291 0.7500 0.1250
V1 V 0.0000 0.0000 0.5000
O1 O 0.0000 0.0000 0.0000
```

Summary:
The calculation puts the magnetization at 5.18 Bohr magnetons per cell. As for the final energy: -36.9 eV per formula unit.